Model A:
Material: Ce2Zn2Cd3
Method: DFT, GGA-PBE
State: optimized geometry

a = 4.632 Å, b = 21.789 Å, c = 3.152 Å
α = 90.00°, β = 90.00°, γ = 90.00°
Space group Cmmm (No. 65)
Unique sites:
Ce  0.000  0.159  0.000 [4 per cell]
Zn  0.000  0.282  0.500 [4 per cell]
Cd  0.000  0.000  0.000 [2 per cell]
Cd  0.000  0.427  0.500 [4 per cell]

## Properties
ρ   7.81 g cm⁻³
Magnetic moment   0.31 μB/atom

=====

Model B:
Material: Ce2Zn2Cd3
Method: DFT, GGA-PBE
State: optimized geometry

a = 4.752 Å, b = 20.292 Å, c = 7.031 Å
α = 90.00°, β = 90.00°, γ = 90.00°
Space group Cmcm (No. 63)
Unique sites:
Ce  0.000  0.041  0.250 [4 per cell]
Ce  0.000  0.167  0.750 [4 per cell]
Zn  0.000  0.309  0.560 [8 per cell]
Cd  0.000  0.216  0.250 [4 per cell]
Cd  0.000  0.433  0.054 [8 per cell]

## Properties
ρ   7.33 g cm⁻³
Magnetic moment   0.33 μB/atom

=====

Which of them is the most stable? Correct choice: model A.

=====

Model A:
Material: Ce6Zn2Cd
Method: DFT, GGA-PBE
State: optimized geometry

a = 9.0067 Å, b = 9.0067 Å, c = 2.9101 Å
α = 90.00°, β = 90.00°, γ = 120.00°
Space group P6/mmm (No. 191)
Unique sites:
Ce  0.0000  0.3469  0.0000 [6 per cell]
Zn  0.3333  0.6667  0.5000 [2 per cell]
Cd  0.0000  0.0000  0.5000 [1 per cell]

## Properties
ρ   8.80 g cm⁻³
Magnetic moment   0.13 μB/atom

=====

Model B:
Material: Ce6Zn2Cd
Method: DFT, GGA-PBE
State: optimized geometry

a = 8.9244 Å, b = 8.9244 Å, c = 3.2436 Å
α = 90.00°, β = 90.00°, γ = 120.00°
Space group P-62m (No. 189)
Unique sites:
Ce  0.0000  0.4018  0.0000 [3 per cell]
Ce  0.0000  0.6896  0.5000 [3 per cell]
Zn  0.3333  0.6667  0.5000 [2 per cell]
Cd  0.0000  0.0000  0.0000 [1 per cell]

## Properties
ρ   8.05 g cm⁻³
Magnetic moment   0.37 μB/atom

=====

Which of them is the most stable? Correct choice: model A.

=====

Model A:
Material: Ce3Zn4Cd4
Method: DFT, GGA-PBE
State: optimized geometry

a = 4.501 Å, b = 7.540 Å, c = 14.782 Å
α = 90.00°, β = 90.00°, γ = 90.00°
Space group Immm (No. 71)
Unique sites:
Ce  0.000  0.000  0.000 [2 per cell]
Ce  0.000  0.500  0.119 [4 per cell]
Zn  0.000  0.000  0.225 [4 per cell]
Zn  0.000  0.177  0.500 [4 per cell]
Cd  0.000  0.307  0.330 [8 per cell]

## Properties
ρ   7.49 g cm⁻³
Magnetic moment   0.30 μB/atom

=====

Model B:
Material: Ce3Zn4Cd4
Method: DFT, GGA-PBE
State: optimized geometry

a = 9.465 Å, b = 4.758 Å, c = 11.158 Å
α = 90.00°, β = 90.00°, γ = 90.00°
Space group Amm2 (No. 38)
Unique sites:
Ce  0.000  0.000  0.000 [2 per cell]
Ce  0.291  0.000  0.170 [4 per cell]
Zn  0.000  0.000  0.677 [2 per cell]
Zn  0.208  0.000  0.488 [4 per cell]
Zn  0.500  0.000  0.698 [2 per cell]
Cd  0.000  0.000  0.306 [2 per cell]
Cd  0.304  0.000  0.874 [4 per cell]
Cd  0.500  0.000  0.449 [2 per cell]

## Properties
ρ   7.48 g cm⁻³
Magnetic moment   0.26 μB/atom

=====

Which of them is the most stable? Correct choice: model A.

=====

Model A:
Material: CeZrZnCd
Method: DFT, GGA-PBE
State: optimized geometry

a = 3.130 Å, b = 3.130 Å, c = 8.875 Å
α = 90.00°, β = 90.00°, γ = 90.00°
Space group P4mm (No. 99)
Unique sites:
Ce  0.000  0.000  0.000 [1 per cell]
Zr  0.000  0.000  0.537 [1 per cell]
Zn  0.500  0.500  0.749 [1 per cell]
Cd  0.500  0.500  0.285 [1 per cell]

## Properties
ρ   7.82 g cm⁻³
Magnetic moment   0.05 μB/atom

=====

Model B:
Material: CeZrZnCd
Method: DFT, GGA-PBE
State: optimized geometry

a = 7.181 Å, b = 7.181 Å, c = 7.181 Å
α = 90.00°, β = 90.00°, γ = 90.00°
Space group F-43m (No. 216)
Unique sites:
Ce  0.000  0.000  0.000 [4 per cell]
Zr  0.000  0.000  0.500 [4 per cell]
Zn  0.250  0.250  0.250 [4 per cell]
Cd  0.250  0.250  0.750 [4 per cell]

## Properties
ρ   7.34 g cm⁻³
Magnetic moment   0.30 μB/atom

=====

Which of them is the most stable? Correct choice: model A.

=====

Model A:
Material: CeZr2Cd
Method: DFT, GGA-PBE
State: optimized geometry

a = 3.119 Å, b = 3.119 Å, c = 9.653 Å
α = 90.00°, β = 90.00°, γ = 90.00°
Space group P4/mmm (No. 123)
Unique sites:
Ce  0.000  0.000  0.000 [1 per cell]
Zr  0.500  0.500  0.265 [2 per cell]
Cd  0.000  0.000  0.500 [1 per cell]

## Properties
ρ   7.69 g cm⁻³
Magnetic moment   0.00 μB/atom

=====

Model B:
Material: CeZr2Cd
Method: DFT, GGA-PBE
State: optimized geometry

a = 3.2875 Å, b = 3.2875 Å, c = 31.0115 Å
α = 90.00°, β = 90.00°, γ = 120.00°
Space group R-3m (No. 166, hexagonal axes)
Unique sites:
Ce  0.0000  0.0000  0.0000 [3 per cell]
Zr  0.0000  0.0000  0.2481 [6 per cell]
Cd  0.0000  0.0000  0.5000 [3 per cell]

## Properties
ρ   7.47 g cm⁻³
Magnetic moment   0.00 μB/atom

=====

Which of them is the most stable? Correct choice: model A.

=====

Model A:
Material: CeZrCd
Method: DFT, GGA-PBE
State: optimized geometry

a = 3.107 Å, b = 3.107 Å, c = 14.812 Å
α = 90.00°, β = 90.00°, γ = 90.00°
Space group P4/nmm (No. 129, origin choice 2)
Unique sites:
Ce  0.250  0.250  0.090 [2 per cell]
Zr  0.250  0.250  0.424 [2 per cell]
Cd  0.250  0.250  0.735 [2 per cell]

## Properties
ρ   7.99 g cm⁻³
Magnetic moment   0.14 μB/atom

=====

Model B:
Material: CeZrCd
Method: DFT, GGA-PBE
State: optimized geometry

a = 5.2031 Å, b = 5.2031 Å, c = 3.0110 Å
α = 90.00°, β = 90.00°, γ = 120.00°
Space group P3m1 (No. 156)
Unique sites:
Ce  0.0000  0.0000  0.0000 [1 per cell]
Zr  0.3333  0.6667  0.9968 [1 per cell]
Cd  0.6667  0.3333  0.4995 [1 per cell]

## Properties
ρ   8.09 g cm⁻³
Magnetic moment   0.34 μB/atom

=====

Which of them is the most stable? Correct choice: model A.

=====

Model A:
Material: Cd5Cl
Method: DFT, GGA-PBE
State: optimized geometry

a = 5.606 Å, b = 15.099 Å, c = 3.349 Å
α = 90.00°, β = 90.00°, γ = 90.00°
Space group Cmmm (No. 65)
Unique sites:
Cd  0.000  0.000  0.000 [2 per cell]
Cd  0.000  0.169  0.500 [4 per cell]
Cd  0.000  0.337  0.000 [4 per cell]
Cl  0.000  0.500  0.500 [2 per cell]

## Properties
ρ   7.00 g cm⁻³
Magnetic moment   0.00 μB/atom

=====

Model B:
Material: Cd5Cl
Method: DFT, GGA-PBE
State: optimized geometry

a = 6.1532 Å, b = 6.1532 Å, c = 4.8677 Å
α = 90.00°, β = 90.00°, γ = 120.00°
Space group P6/mmm (No. 191)
Unique sites:
Cd  0.0000  0.5000  0.0000 [3 per cell]
Cd  0.3333  0.6667  0.5000 [2 per cell]
Cl  0.0000  0.0000  0.5000 [1 per cell]

## Properties
ρ   6.22 g cm⁻³
Magnetic moment   0.00 μB/atom

=====

Model C:
Material: Cd5Cl
Method: DFT, GGA-PBE
State: optimized geometry

a = 13.756 Å, b = 3.207 Å, c = 8.571 Å
α = 90.00°, β = 125.97°, γ = 90.00°
Space group Cm (No. 8)
Unique sites:
Cd  0.000  0.000  0.000 [2 per cell]
Cd  0.055  0.000  0.526 [2 per cell]
Cd  0.169  0.500  0.377 [2 per cell]
Cd  0.291  0.000  0.225 [2 per cell]
Cd  0.421  0.000  0.652 [2 per cell]
Cl  0.283  0.500  0.960 [2 per cell]

## Properties
ρ   6.48 g cm⁻³
Magnetic moment   0.00 μB/atom

=====

Model D:
Material: Cd5Cl
Method: DFT, GGA-PBE
State: optimized geometry

a = 5.3195 Å, b = 5.3195 Å, c = 5.8763 Å
α = 90.00°, β = 90.00°, γ = 120.00°
Space group P-62m (No. 189)
Unique sites:
Cd  0.0000  0.6673  0.0000 [3 per cell]
Cd  0.3333  0.6667  0.5000 [2 per cell]
Cl  0.0000  0.0000  0.5000 [1 per cell]

## Properties
ρ   6.89 g cm⁻³
Magnetic moment   0.00 μB/atom

=====

Which of them is the most stable? Correct choice: model C.

=====

Model A:
Material: Cd4Cl5
Method: DFT, GGA-PBE
State: optimized geometry

a = 8.649 Å, b = 8.649 Å, c = 6.687 Å
α = 90.00°, β = 90.00°, γ = 90.00°
Space group I4/mmm (No. 139)
Unique sites:
Cd  0.000  0.333  0.000 [8 per cell]
Cl  0.000  0.000  0.000 [2 per cell]
Cl  0.206  0.206  0.500 [8 per cell]

## Properties
ρ   4.16 g cm⁻³
Magnetic moment   0.00 μB/atom

=====

Model B:
Material: Cd4Cl5
Method: DFT, GGA-PBE
State: optimized geometry

a = 8.5463 Å, b = 8.5463 Å, c = 7.1468 Å
α = 90.00°, β = 90.00°, γ = 120.00°
Space group P6_3/mcm (No. 193)
Unique sites:
Cd  0.0000  0.0000  0.0000 [2 per cell]
Cd  0.0000  0.4274  0.2500 [6 per cell]
Cl  0.0000  0.2330  0.7500 [6 per cell]
Cl  0.3333  0.6667  0.0000 [4 per cell]

## Properties
ρ   4.61 g cm⁻³
Magnetic moment   0.00 μB/atom

=====

Which of them is the most stable? Correct choice: model A.

=====

Model A:
Material: Cd5Cl3
Method: DFT, GGA-PBE
State: optimized geometry

a = 8.477 Å, b = 12.138 Å, c = 3.962 Å
α = 90.00°, β = 90.00°, γ = 90.00°
Space group Cmmm (No. 65)
Unique sites:
Cd  0.000  0.000  0.000 [2 per cell]
Cd  0.242  0.500  0.500 [4 per cell]
Cd  0.250  0.250  0.000 [4 per cell]
Cl  0.000  0.258  0.500 [4 per cell]
Cl  0.000  0.500  0.000 [2 per cell]

## Properties
ρ   5.45 g cm⁻³
Magnetic moment   0.00 μB/atom

=====

Model B:
Material: Cd5Cl3
Method: DFT, GGA-PBE
State: optimized geometry

a = 7.103 Å, b = 15.420 Å, c = 8.952 Å
α = 90.00°, β = 111.81°, γ = 90.00°
Space group Cm (No. 8)
Unique sites:
Cd  0.000  0.000  0.000 [2 per cell]
Cd  0.024  0.109  0.741 [4 per cell]
Cd  0.128  0.401  0.779 [4 per cell]
Cd  0.284  0.401  0.175 [4 per cell]
Cd  0.387  0.109  0.210 [4 per cell]
Cd  0.399  0.000  0.937 [2 per cell]
Cl  0.043  0.257  0.623 [4 per cell]
Cl  0.092  0.209  0.225 [4 per cell]
Cl  0.452  0.000  0.470 [2 per cell]
Cl  0.458  0.500  0.475 [2 per cell]

## Properties
ρ   4.88 g cm⁻³
Magnetic moment   0.00 μB/atom

=====

Which of them is the most stable? Correct choice: model B.

=====

Model A:
Material: Cd2CoCl
Method: DFT, GGA-PBE
State: optimized geometry

a = 9.732 Å, b = 3.154 Å, c = 6.294 Å
α = 90.00°, β = 102.78°, γ = 90.00°
Space group Cm (No. 8)
Unique sites:
Cd  0.000  0.000  0.000 [2 per cell]
Cd  0.240  0.000  0.761 [2 per cell]
Co  0.002  0.500  0.662 [2 per cell]
Cl  0.429  0.500  0.392 [2 per cell]

## Properties
ρ   5.63 g cm⁻³
Magnetic moment   0.35 μB/atom

=====

Model B:
Material: Cd2CoCl
Method: DFT, GGA-PBE
State: optimized geometry

a = 6.917 Å, b = 6.917 Å, c = 6.917 Å
α = 90.00°, β = 90.00°, γ = 90.00°
Space group Fm-3m (No. 225)
Unique sites:
Cd  0.250  0.250  0.250 [8 per cell]
Co  0.000  0.000  0.000 [4 per cell]
Cl  0.000  0.000  0.500 [4 per cell]

## Properties
ρ   6.41 g cm⁻³
Magnetic moment   0.38 μB/atom

=====

Model C:
Material: Cd2CoCl
Method: DFT, GGA-PBE
State: optimized geometry

a = 2.949 Å, b = 4.016 Å, c = 13.621 Å
α = 90.00°, β = 90.00°, γ = 90.00°
Space group Immm (No. 71)
Unique sites:
Cd  0.000  0.000  0.181 [4 per cell]
Co  0.000  0.500  0.500 [2 per cell]
Cl  0.000  0.500  0.000 [2 per cell]

## Properties
ρ   6.57 g cm⁻³
Magnetic moment   0.39 μB/atom

=====

Model D:
Material: Cd2CoCl
Method: DFT, GGA-PBE
State: optimized geometry

a = 3.606 Å, b = 3.606 Å, c = 7.183 Å
α = 90.00°, β = 90.00°, γ = 90.00°
Space group P4mm (No. 99)
Unique sites:
Cd  0.000  0.000  0.000 [1 per cell]
Cd  0.500  0.500  0.300 [1 per cell]
Co  0.500  0.500  0.940 [1 per cell]
Cl  0.000  0.000  0.493 [1 per cell]

## Properties
ρ   5.67 g cm⁻³
Magnetic moment   0.30 μB/atom

=====

Which of them is the most stable? Correct choice: model A.